Record 1
Density functional theory data (PBE) for a relaxed Zr2MnHg2 crystal.

Its density of states at the Fermi level is 0.85 states/eV/atom. Its formation energy is 0.1083 eV/atom. The volume is 215.1 Å³/cell. The energy comes out at -5.266 eV/atom.

The structure belongs to space group P4/mbm (No. 127); the cell edges are 7.218, 7.218 and 4.128 Å and the angles 90.00°, 90.00° and 90.00°. The asymmetric unit holds Zr at (0.169, 0.331, 0.000), Mn at (0.000, 0.000, 0.500) and Hg at (0.139, 0.639, 0.500).

---

Record 2
Density functional theory data (PBE) for a relaxed Zr2Mn4Hg crystal.

Its density of states at the Fermi level is 1.20 states/eV/atom. Its formation energy is 1.0866 eV/atom. The volume is 326.7 Å³/cell. The energy comes out at -6.639 eV/atom.

The structure belongs to space group I4/mmm (No. 139); the cell edges are 4.820, 4.820 and 14.061 Å and the angles 90.00°, 90.00° and 90.00°. The asymmetric unit holds Zr at (0.000, 0.000, 0.106), Mn at (0.000, 0.000, 0.310), Mn at (0.000, 0.500, 0.000) and Hg at (0.000, 0.000, 0.500).

---

Record 3
Density functional theory data (PBE) for a relaxed ZrMnHg crystal.

Its density of states at the Fermi level is 1.64 states/eV/atom. The offset from the most stable computed form comes out at 683 meV/atom. Its formation energy is 0.7242 eV/atom. The volume is 285.1 Å³/cell. The energy comes out at -5.282 eV/atom.

The structure belongs to space group F-43m (No. 216); the cell edges are 6.582, 6.582 and 6.582 Å and the angles 90.00°, 90.00° and 90.00°. The asymmetric unit holds Zr at (0.000, 0.000, 0.000), Mn at (0.250, 0.250, 0.250) and Hg at (0.250, 0.250, 0.750).

---

Record 4
Density functional theory data (PBE) for a relaxed ZrMn3Hg crystal.

Its density of states at the Fermi level is 0.93 states/eV/atom. The offset from the most stable computed form comes out at 112 meV/atom. Its formation energy is 1.3213 eV/atom. The volume is 112.8 Å³/cell. The energy comes out at -5.950 eV/atom.

The structure belongs to space group Pm-3m (No. 221); the cell edges are 4.832, 4.832 and 4.832 Å and the angles 90.00°, 90.00° and 90.00°. The asymmetric unit holds Zr at (0.000, 0.000, 0.000), Mn at (0.000, 0.000, 0.500) and Hg at (0.500, 0.500, 0.500).

---

Record 5
Density functional theory data (PBE) for a relaxed ZrMn2Hg crystal.

Its density of states at the Fermi level is 1.10 states/eV/atom. Its formation energy is 0.3389 eV/atom. The volume is 226.1 Å³/cell. The energy comes out at -6.458 eV/atom.

The structure belongs to space group R-3m (No. 166, hexagonal axes); the cell edges are 3.1030, 3.1030 and 27.1188 Å and the angles 90.00°, 90.00° and 120.00°. The asymmetric unit holds Zr at (0.0000, 0.0000, 0.0000), Mn at (0.0000, 0.0000, 0.2506) and Hg at (0.0000, 0.0000, 0.5000).

---

Record 6
Density functional theory data (PBE) for a relaxed ZrMnHg crystal.

Its density of states at the Fermi level is 2.05 states/eV/atom. The offset from the most stable computed form comes out at 416 meV/atom. Its formation energy is 0.4569 eV/atom. The volume is 254.2 Å³/cell. The energy comes out at -5.550 eV/atom.

The structure belongs to space group F-43m (No. 216); the cell edges are 6.335, 6.335 and 6.335 Å and the angles 90.00°, 90.00° and 90.00°. The asymmetric unit holds Zr at (0.000, 0.000, 0.000), Mn at (0.250, 0.250, 0.250) and Hg at (0.000, 0.000, 0.500).

---

Record 7
Density functional theory data (PBE) for a relaxed ZrMn4Hg crystal.

Its density of states at the Fermi level is 1.46 states/eV/atom. Its formation energy is 0.1165 eV/atom. The volume is 337.2 Å³/cell. The energy comes out at -7.472 eV/atom.

The structure belongs to space group F-43m (No. 216); the cell edges are 6.961, 6.961 and 6.961 Å and the angles 90.00°, 90.00° and 90.00°. The asymmetric unit holds Zr at (0.000, 0.000, 0.000), Mn at (0.123, 0.123, 0.377) and Hg at (0.250, 0.250, 0.750).

---

Record 8
Density functional theory data (PBE) for a relaxed ZrMn2Hg crystal.

Its density of states at the Fermi level is 0.89 states/eV/atom. Its formation energy is 0.3300 eV/atom. The volume is 143.0 Å³/cell. The energy comes out at -6.467 eV/atom.

The structure belongs to space group C2/m (No. 12); the cell edges are 5.916, 8.884 and 2.967 Å and the angles 90.00°, 113.54° and 90.00°. The asymmetric unit holds Zr at (0.000, 0.000, 0.000), Mn at (0.250, 0.250, 0.500) and Hg at (0.000, 0.500, 0.000).

---

Record 9
Density functional theory data (PBE) for a relaxed ZrMnHg crystal.

Its density of states at the Fermi level is 0.80 states/eV/atom. The offset from the most stable computed form comes out at 0 meV/atom. Its formation energy is 0.0407 eV/atom. The volume is 114.4 Å³/cell. The energy comes out at -5.966 eV/atom.

The structure belongs to space group I4mm (No. 107); the cell edges are 3.449, 3.449 and 9.618 Å and the angles 90.00°, 90.00° and 90.00°. The asymmetric unit holds Zr at (0.000, 0.000, 0.000), Mn at (0.000, 0.000, 0.345) and Hg at (0.000, 0.000, 0.686).

---

Record 10
Density functional theory data (PBE) for a relaxed ZrMn2Hg crystal.

Its density of states at the Fermi level is 0.92 states/eV/atom. Its formation energy is 0.2482 eV/atom. The volume is 145.5 Å³/cell. The energy comes out at -6.549 eV/atom.

The structure belongs to space group C2/m (No. 12); the cell edges are 9.410, 3.211 and 5.020 Å and the angles 90.00°, 106.44° and 90.00°. The asymmetric unit holds Zr at (0.000, 0.000, 0.000), Mn at (0.249, 0.000, 0.756) and Hg at (0.000, 0.500, 0.500).

---

Record 11
Density functional theory data (PBE) for a relaxed ZrMn3Hg crystal.

Its density of states at the Fermi level is 0.91 states/eV/atom. The offset from the most stable computed form comes out at 0 meV/atom. Its formation energy is 1.2094 eV/atom. The volume is 118.7 Å³/cell. The energy comes out at -6.062 eV/atom.

The structure belongs to space group Pm-3m (No. 221); the cell edges are 4.915, 4.915 and 4.915 Å and the angles 90.00°, 90.00° and 90.00°. The asymmetric unit holds Zr at (0.000, 0.000, 0.000), Mn at (0.000, 0.500, 0.500) and Hg at (0.500, 0.500, 0.500).

---

Record 12
Density functional theory data (PBE) for a relaxed ZrMn2Hg crystal.

Its density of states at the Fermi level is 0.97 states/eV/atom. Its formation energy is 0.4061 eV/atom. The volume is 71.5 Å³/cell. The energy comes out at -6.391 eV/atom.

The structure belongs to space group P2/m (No. 10); the cell edges are 3.024, 4.443 and 5.321 Å and the angles 90.00°, 92.01° and 90.00°. The asymmetric unit holds Zr at (0.000, 0.000, 0.000), Mn at (0.401, 0.500, 0.816) and Hg at (0.500, 0.000, 0.500).